TbCe2Y6Er3 | PBE | relaxed

Cell lengths 6.1774, 6.1774, 12.9806 Å; angles 103.74, 103.74, 119.98 degrees
Closest atoms and distances in Å follow each position.
Element x y z (fractional)
Y (0.4178, 0.4178, 0.7506)  2 Ce 3.51, 1 Tb 3.52, 3 Er 3.52-3.53, 6 Y 3.56-3.58
Y (0.9128, 0.2475, 0.2492)  2 Ce 3.51, 3 Er 3.52-3.54, 1 Tb 3.52, 6 Y 3.56-3.58
Ce (0.6665, 0.3335, 0.0000)  6 Y 3.51, 3 Ce 3.56-3.57, 3 Tb 3.57
Y (0.7525, 0.0872, 0.7508)  2 Ce 3.51, 3 Er 3.52-3.54, 1 Tb 3.52, 6 Y 3.56-3.58
Er (0.5000, 0.5000, 0.5000)  6 Y 3.52-3.54, 6 Er 3.57
Y (0.5822, 0.5822, 0.2494)  2 Ce 3.51, 1 Tb 3.52, 3 Er 3.52-3.53, 6 Y 3.56-3.58
Er (0.8333, 0.1667, 0.5000)  6 Y 3.52-3.53, 6 Er 3.57
Ce (0.3335, 0.6665, 0.0000)  6 Y 3.51, 3 Ce 3.56-3.57, 3 Tb 3.57
Tb (0.0000, 0.0000, 0.0000)  6 Y 3.52, 6 Ce 3.57
Y (0.2475, 0.9128, 0.2492)  2 Ce 3.51, 3 Er 3.52-3.54, 1 Tb 3.52, 6 Y 3.56-3.58
Y (0.0872, 0.7525, 0.7508)  2 Ce 3.51, 3 Er 3.52-3.54, 1 Tb 3.52, 6 Y 3.56-3.58
Er (0.1667, 0.8333, 0.5000)  6 Y 3.52-3.53, 6 Er 3.57

Results
- raw total energy (eV/f.u.) = -68.6

---

TbCeY6Er2 | PBE | relaxed

Cell lengths 9.2842, 8.8357, 8.8357 Å; angles 116.09, 93.07, 93.07 degrees
Closest atoms and distances in Å follow each position.
Element x y z (fractional)
Y (0.4437, 0.2338, 0.8905)  1 Er 3.42, 7 Y 3.44-3.75, 2 Tb 3.58-3.64
Y (0.6846, 0.9974, 0.5514)  4 Y 3.27-3.63, 2 Er 3.42-3.61, 1 Ce 3.43, 1 Tb 3.50
Tb (0.7500, 0.0377, 0.9623)  4 Er 3.34-3.48, 6 Y 3.50-3.64
Er (0.4443, 0.8026, 0.7029)  6 Y 3.34-3.61, 2 Tb 3.34-3.48, 1 Ce 3.44
Er (0.9443, 0.7029, 0.8026)  6 Y 3.34-3.61, 2 Tb 3.34-3.48, 1 Ce 3.44
Y (0.5563, 0.7662, 0.1095)  1 Er 3.42, 7 Y 3.44-3.75, 2 Tb 3.58-3.64
Ce (0.7500, 0.5817, 0.4183)  6 Y 3.37-3.43, 2 Er 3.44
Tb (0.2500, 0.9623, 0.0377)  4 Er 3.34-3.48, 6 Y 3.50-3.64
Y (0.8154, 0.4486, 0.0026)  4 Y 3.27-3.63, 2 Er 3.42-3.61, 1 Ce 3.43, 1 Tb 3.50
Y (0.6066, 0.4731, 0.7060)  4 Y 3.27-3.52, 3 Er 3.34-3.49, 2 Ce 3.37-3.39
Er (0.0557, 0.2971, 0.1974)  6 Y 3.34-3.61, 2 Tb 3.34-3.48, 1 Ce 3.44
Y (0.1846, 0.5514, 0.9974)  4 Y 3.27-3.63, 2 Er 3.42-3.61, 1 Ce 3.43, 1 Tb 3.50
Y (0.3934, 0.5269, 0.2940)  4 Y 3.27-3.52, 3 Er 3.34-3.49, 2 Ce 3.37-3.39
Y (0.1066, 0.7060, 0.4731)  4 Y 3.27-3.52, 3 Er 3.34-3.49, 2 Ce 3.37-3.39
Y (0.3154, 0.0026, 0.4486)  4 Y 3.27-3.63, 2 Er 3.42-3.61, 1 Ce 3.43, 1 Tb 3.50
Ce (0.2500, 0.4183, 0.5817)  6 Y 3.37-3.43, 2 Er 3.44
Er (0.5557, 0.1974, 0.2971)  6 Y 3.34-3.61, 2 Tb 3.34-3.48, 1 Ce 3.44
Y (0.8934, 0.2940, 0.5269)  4 Y 3.27-3.52, 3 Er 3.34-3.49, 2 Ce 3.37-3.39
Y (0.9437, 0.8905, 0.2338)  1 Er 3.42, 7 Y 3.44-3.75, 2 Tb 3.58-3.64
Y (0.0563, 0.1095, 0.7662)  1 Er 3.42, 7 Y 3.44-3.75, 2 Tb 3.58-3.64

Results
- raw total energy (eV/f.u.) = -56.9

---

Tb6CeY2Er3 | PBE | relaxed

Cell lengths 6.1465, 6.1465, 11.7625 Å; angles 94.99, 94.99, 119.98 degrees
Closest atoms and distances in Å follow each position.
Element x y z (fractional)
Tb (0.9154, 0.5845, 0.7484)  6 Tb 3.52-3.56, 3 Er 3.53-3.54, 1 Ce 3.56, 2 Y 3.56-3.57
Tb (0.2465, 0.2465, 0.7482)  6 Tb 3.52-3.56, 3 Er 3.53-3.54, 1 Ce 3.55, 2 Y 3.57
Er (0.5000, 0.5000, 0.5000)  6 Tb 3.53-3.54, 6 Er 3.54-3.55
Tb (0.7535, 0.7535, 0.2518)  6 Tb 3.52-3.56, 3 Er 3.53-3.54, 1 Ce 3.55, 2 Y 3.57
Er (0.8327, 0.1673, 0.5000)  6 Tb 3.53-3.54, 6 Er 3.54-3.56
Tb (0.4155, 0.0846, 0.2516)  6 Tb 3.52-3.56, 3 Er 3.53-3.54, 1 Ce 3.56, 2 Y 3.56-3.57
Ce (0.0000, 0.0000, 0.0000)  6 Y 3.55, 6 Tb 3.55-3.56
Er (0.1673, 0.8327, 0.5000)  6 Tb 3.53-3.54, 6 Er 3.54-3.56
Tb (0.0846, 0.4155, 0.2516)  6 Tb 3.52-3.56, 3 Er 3.53-3.54, 1 Ce 3.56, 2 Y 3.56-3.57
Y (0.3334, 0.6666, 0.0000)  3 Y 3.55, 3 Ce 3.55, 6 Tb 3.56-3.57
Y (0.6666, 0.3334, 0.0000)  3 Y 3.55, 3 Ce 3.55, 6 Tb 3.56-3.57
Tb (0.5845, 0.9154, 0.7484)  6 Tb 3.52-3.56, 3 Er 3.53-3.54, 1 Ce 3.56, 2 Y 3.56-3.57

Results
- raw total energy (eV/f.u.) = -59.9

---

Tb2CeY5Er | PBE | relaxed

Cell lengths 5.7187, 11.1955, 9.5443 Å; angles 90.00, 90.00, 104.80 degrees
Closest atoms and distances in Å follow each position.
Element x y z (fractional)
Tb (0.1141, 0.2282, 0.3203)  9 Y 3.30-3.68, 1 Ce 3.30
Y (0.4717, 0.9434, 0.7475)  2 Er 3.23-3.40, 3 Y 3.33-3.61, 2 Tb 3.48
Tb (0.8675, 0.7349, 0.2086)  1 Ce 3.19, 2 Y 3.30
Er (0.5976, 0.1951, 0.9283)  4 Y 3.07-3.42
Y (0.9870, 0.9741, 0.5107)  3 Tb 3.30-3.68, 2 Er 3.49, 2 Y 3.66
Ce (0.8118, 0.6236, 0.5184)  2 Tb 3.19-3.30, 5 Y 3.40-3.50, 2 Er 3.57
Er (0.4024, 0.8049, 0.4283)  4 Y 3.07-3.42
Y (0.7332, 0.4664, 0.8332)  1 Er 3.07, 1 Tb 3.31
Y (0.6086, 0.2172, 0.5457)  4 Tb 3.30-3.58, 2 Y 3.33-3.53, 1 Er 3.66
Ce (0.1882, 0.3764, 0.0184)  2 Tb 3.19-3.30, 5 Y 3.40-3.50, 2 Er 3.57
Y (0.3057, 0.6113, 0.7113)  2 Ce 3.40, 1 Er 3.42, 5 Y 3.46-3.71, 3 Tb 3.50-3.75
Y (0.5283, 0.0566, 0.2475)  2 Er 3.23-3.40, 3 Y 3.33-3.61, 2 Tb 3.48
Y (0.0130, 0.0259, 0.0107)  3 Tb 3.30-3.68, 2 Er 3.49, 2 Y 3.66
Y (0.2668, 0.5336, 0.3332)  1 Er 3.07, 1 Tb 3.31
Y (0.6943, 0.3887, 0.2113)  2 Ce 3.40, 1 Er 3.42, 5 Y 3.46-3.71, 3 Tb 3.50-3.75
Tb (0.8859, 0.7718, 0.8203)  9 Y 3.30-3.68, 1 Ce 3.30
Y (0.3914, 0.7828, 0.0457)  4 Tb 3.30-3.58, 2 Y 3.33-3.53, 1 Er 3.66
Tb (0.1325, 0.2651, 0.7086)  1 Ce 3.19, 2 Y 3.30

Results
- raw total energy (eV/f.u.) = -50.6

---

Tb2CeYEr | PBE | relaxed

Cell lengths 6.5221, 8.0842, 6.0444 Å; angles 90.00, 90.00, 90.00 degrees
Closest atoms and distances in Å follow each position.
Element x y z (fractional)
Y (0.4207, 0.0000, 0.2500)  2 Ce 3.13, 2 Y 3.19, 2 Tb 3.48
Y (0.5793, 0.0000, 0.7500)  2 Ce 3.13, 2 Y 3.19, 2 Tb 3.48
Tb (0.2018, 0.3043, 0.7500)  1 Tb 3.16, 2 Ce 3.17, 3 Er 3.47-3.50, 1 Y 3.48
Tb (0.7982, 0.3043, 0.2500)  1 Tb 3.16, 2 Ce 3.17, 3 Er 3.47-3.50, 1 Y 3.48
Tb (0.2018, 0.6957, 0.7500)  1 Tb 3.16, 2 Ce 3.17, 3 Er 3.47-3.50, 1 Y 3.48
Tb (0.7982, 0.6957, 0.2500)  1 Tb 3.16, 2 Ce 3.17, 3 Er 3.47-3.50, 1 Y 3.48
Er (0.6761, 0.5000, 0.7500)  8 Tb 3.47-3.78, 2 Er 3.80
Ce (0.0000, 0.0000, 0.0000)  2 Ce 3.02, 2 Y 3.13, 4 Tb 3.17
Ce (0.0000, 0.0000, 0.5000)  2 Ce 3.02, 2 Y 3.13, 4 Tb 3.17
Er (0.3239, 0.5000, 0.2500)  8 Tb 3.47-3.78, 2 Er 3.80

Results
- raw total energy (eV/f.u.) = -24.6

---

Tb5CeY2Er | PBE | relaxed

Cell lengths 5.6165, 10.4927, 10.3366 Å; angles 90.00, 90.00, 105.52 degrees
Closest atoms and distances in Å follow each position.
Element x y z (fractional)
Tb (0.0168, 0.0337, 0.0213)  2 Er 3.27, 4 Y 3.37-3.65, 2 Tb 3.61
Y (0.1139, 0.2279, 0.7325)  1 Ce 3.40, 7 Tb 3.43-3.74, 2 Er 3.64
Ce (0.7993, 0.5985, 0.5148)  2 Y 3.40-3.60, 7 Tb 3.42-3.78, 2 Er 3.63
Ce (0.2007, 0.4015, 0.0148)  2 Y 3.40-3.60, 7 Tb 3.42-3.78, 2 Er 3.63
Y (0.8859, 0.7719, 0.8190)  9 Tb 3.29-3.65, 1 Ce 3.60
Tb (0.7016, 0.4033, 0.2031)  3 Tb 3.38-3.66, 3 Ce 3.42-3.78, 1 Er 3.42, 3 Y 3.53-3.74
Y (0.8861, 0.7721, 0.2325)  1 Ce 3.40, 7 Tb 3.43-3.74, 2 Er 3.64
Tb (0.4782, 0.9564, 0.7413)  2 Er 3.16-3.30, 2 Tb 3.44, 2 Y 3.47
Tb (0.2984, 0.5967, 0.7031)  3 Tb 3.38-3.66, 3 Ce 3.42-3.78, 1 Er 3.42, 3 Y 3.53-3.74
Er (0.4088, 0.8175, 0.4521)  5 Tb 3.04-3.30
Tb (0.6084, 0.2168, 0.5276)  6 Tb 3.44-3.85, 4 Y 3.52-3.54
Tb (0.9832, 0.9663, 0.5213)  2 Er 3.27, 4 Y 3.37-3.65, 2 Tb 3.61
Tb (0.7235, 0.4470, 0.8122)  1 Er 3.04, 1 Y 3.29, 2 Tb 3.38
Y (0.1141, 0.2281, 0.3190)  9 Tb 3.29-3.65, 1 Ce 3.60
Tb (0.3916, 0.7832, 0.0276)  6 Tb 3.44-3.85, 4 Y 3.52-3.54
Tb (0.5218, 0.0436, 0.2413)  2 Er 3.16-3.30, 2 Tb 3.44, 2 Y 3.47
Tb (0.2765, 0.5530, 0.3122)  1 Er 3.04, 1 Y 3.29, 2 Tb 3.38
Er (0.5912, 0.1825, 0.9521)  5 Tb 3.04-3.30

Results
- raw total energy (eV/f.u.) = -45.0